This record from the Alexandria database describes a geometry-optimized Sr2FeCuPb2O6 structure. The functional is PBE with a Hubbard U.

Cell: 3.9766 3.9200 12.2979 Å, 90.00 91.09 90.00°
Last column: nearest neighbours and their distance in Å.
Fractional coordinates of all 12 atoms:
1 Sr 0.0094 0.0000 0.1426  9 O 2.63-2.83
2 Sr 0.9906 0.0000 0.8574  9 O 2.63-2.83
3 Fe 0.5000 0.5000 0.0000  6 O 1.96-2.19
4 Cu 0.0000 0.0000 0.5000  2 O 1.86
5 Pb 0.4903 0.5000 0.3552  1 O 2.18
6 Pb 0.5097 0.5000 0.6448  1 O 2.18
7 O 0.0000 0.5000 0.0000  2 Fe 1.99
8 O 0.1132 0.0000 0.3543  1 Cu 1.86
9 O 0.4864 0.5000 0.8221  1 Pb 2.18, 1 Fe 2.19
10 O 0.5000 0.0000 0.0000  2 Fe 1.96
11 O 0.5136 0.5000 0.1779  1 Pb 2.18, 1 Fe 2.19
12 O 0.8868 0.0000 0.6457  1 Cu 1.86

Properties
final energy	-70.511	eV for the cell shown
theoretical density	6.97	g cm⁻³
energy above the most stable polymorph in this dataset	3.7	meV/atom
space-group type	P2/m (10)